Density functional theory data (GGA-PBE) for crystalline OsRuN2 at its relaxed geometry.

Summary:
Formation energy (no corrections) in kJ/mol of formula units: 171
SG: No. 122
DOS(E_F) in states/eV per cell: 5.794
Offset from the most stable computed form in meV/atom: 0

Unit cell a=4.5648 b=4.5648 c=5.6436 alpha=66.15 beta=66.15 gamma=90.00
Positions (direct):
Ru 0.5000 0.5000 0.0000
Ru 0.2500 0.7500 0.5000
Os 0.0000 0.0000 0.0000
Os 0.7500 0.2500 0.5000
N 0.6351 0.1250 0.2500
N 0.1149 0.6250 0.2500
N 0.3750 0.3649 0.7500
N 0.8750 0.8851 0.7500

Density functional theory data (GGA-PBE) for crystalline OsRuSN2 at its relaxed geometry.

Summary:
Formation energy (no corrections) in kJ/mol of formula units: 524
SG: No. 123
DOS(E_F) in states/eV per cell: 7.078
Offset from the most stable computed form in meV/atom: 0

Unit cell a=3.7415 b=3.7415 c=5.2586 alpha=90.00 beta=90.00 gamma=90.00
Positions (direct):
Ru 0.5000 0.5000 0.5000
S 0.0000 0.0000 0.5000
Os 0.0000 0.0000 0.0000
N 0.0000 0.5000 0.0000
N 0.5000 0.0000 0.0000

> offset from the most stable computed form of number 1 (OsRuN2)?

0 meV/atom